The following is a GGA+U calculation of a geometry-optimized K2TbV2O6 structure, from the Alexandria database.

The total magnetic moment comes out at 3.00 Bohr magnetons per cell. For the total DFT energy (no corrections), the calculation gives -6.84 eV/atom. Its volume is 17.88 Å³/atom.

The space group is R-3m (No. 166, hexagonal axes) and the conventional cell measures 6.1238, 6.1238 and 18.1729 Å, with angles of 90.00, 90.00 and 120.00 degrees. Symmetry generates all atoms from K at (0.0000, 0.0000, 0.2077), Tb at (0.0000, 0.0000, 0.0000), V at (0.0000, 0.0000, 0.4194) and O at (0.0030, 0.5015, 0.2547).